(1)
# Sr8Ag2Bi, relaxed, DFT PBE
data_Sr8Ag2Bi
_space_group_name_H-M_alt 'C 1 m 1'
_space_group_IT_number 8
_cell_length_a 9.9982
_cell_length_b 14.9314
_cell_length_c 6.5824
_cell_angle_alpha 90.00
_cell_angle_beta 106.35
_cell_angle_gamma 90.00
loop_
_space_group_symop_operation_xyz
'x,y,z'
'x,-y,z'
'x+1/2,y+1/2,z'
'x+1/2,-y+1/2,z'
loop_
_atom_site_label
_atom_site_fract_x
_atom_site_fract_y
_atom_site_fract_z
Sr1 0.0000 0.0000 0.0000
Sr2 0.0730 0.3697 0.7737
Sr3 0.1642 0.1311 0.5845
Sr4 0.2447 0.5000 0.3833
Sr5 0.3661 0.2292 0.1867
Ag1 0.3716 0.3118 0.6915
Bi1 0.3712 0.0000 0.3169
# M_tot (μB/f.u.): 0.000
# Energy of formation (meV per atom): -242.7


(2)
# Sr2Ag2Bi3, relaxed, DFT PBE
data_Sr2Ag2Bi3
_space_group_name_H-M_alt 'C 1 2/m 1'
_space_group_IT_number 12
_cell_length_a 11.9103
_cell_length_b 4.7210
_cell_length_c 8.1533
_cell_angle_alpha 90.00
_cell_angle_beta 110.84
_cell_angle_gamma 90.00
loop_
_space_group_symop_operation_xyz
'x,y,z'
'-x,-y,-z'
'-x,y,-z'
'x,-y,z'
'x+1/2,y+1/2,z'
'-x+1/2,-y+1/2,-z'
'-x+1/2,y+1/2,-z'
'x+1/2,-y+1/2,z'
loop_
_atom_site_label
_atom_site_fract_x
_atom_site_fract_y
_atom_site_fract_z
Sr1 0.1371 0.0000 0.2884
Ag1 0.1571 0.0000 0.7301
Bi1 0.0000 0.5000 0.5000
Bi2 0.1166 0.5000 0.9528
# M_tot (μB/f.u.): 0.000
# Energy of formation (meV per atom): -410.2


(3)
# Sr3AgBi, relaxed, DFT PBE
data_Sr3AgBi
_space_group_name_H-M_alt 'P m -3 m'
_space_group_IT_number 221
_space_group_name_Hall '-P 4 2 3'
_cell_length_a 5.9702
_cell_length_b 5.9702
_cell_length_c 5.9702
_cell_angle_alpha 90.00
_cell_angle_beta 90.00
_cell_angle_gamma 90.00
loop_
_atom_site_label
_atom_site_fract_x
_atom_site_fract_y
_atom_site_fract_z
Sr1 0.0000 0.0000 0.5000
Ag1 0.0000 0.0000 0.0000
Bi1 0.5000 0.5000 0.5000
# M_tot (μB/f.u.): 0.000
# Energy of formation (meV per atom): -233.7
# Polymorph energy (0 for the lowest one) (eV/f.u.): 0.94